Record 1
Entry from the Alexandria database: a relaxed structure of Ac6Co2PdBr3 (PBE).

Structure (extended XYZ):
```
12
Lattice="-2.610 3.264 -0.983 -5.872 -6.098 -4.659 -1.255 -0.675 10.466" Properties=species:S:1:pos:R:3 pbc="T T T"
Ac -4.278 -2.137 4.263
Co -2.814 -1.716 1.774
Pd -1.305 1.632 -0.492
Br -4.241 -1.417 -2.821
Ac -8.283 -2.130 5.541
Br -5.741 -4.762 -0.571
Br -3.995 1.254 5.395
Ac -2.870 1.167 2.120
Co -6.922 -1.792 3.049
Ac -6.866 -4.676 2.704
Ac -1.453 -1.378 -0.717
Ac -5.458 -1.372 0.560
```

Computed properties:
Its space group is C2/m. The raw formation energy comes out at -20.2 kcal/mol of atoms.

***

Record 2
Entry from the Alexandria database: a relaxed structure of Pm3Y6Sc (PBE).

Structure (extended XYZ):
```
20
Lattice="6.334 0.000 0.000 0.000 10.782 -1.630 0.000 -3.995 10.146" Properties=species:S:1:pos:R:3 pbc="T T T"
Y 0.322 2.920 2.325
Y 5.670 -3.310 9.601
Pm 6.031 3.952 8.420
Y 0.322 5.172 5.151
Y 2.327 -1.336 4.635
Pm 2.864 2.836 0.097
Y 5.494 4.816 -0.269
Pm 2.864 7.325 5.731
Y 2.503 10.097 -1.084
Y 5.494 8.124 3.882
Sc 0.842 -1.011 7.769
Y 2.327 1.971 8.785
Y 3.489 3.867 6.191
Pm 6.031 -0.538 2.786
Pm 3.612 5.071 2.922
Y 0.928 6.719 1.608
Y 4.095 0.069 6.908
Pm 0.445 1.716 5.595
Y 3.489 1.615 3.366
Sc 4.009 7.798 0.748
```

Computed properties:
As for the energy above the lowest structure with this stoichiometry: 0 meV/atom. The calculated formation energy comes out at 136.7 kJ/mol of formula units. Its space group is Cmc2_1.